(1)
Crystalline MgCd2Te at its relaxed geometry, computed with PBE.

The density comes out at 6.0 g/cm3. As for the raw formation energy: -0.12 eV/f.u.

The space group is F-43m (No. 216) and the conventional cell measures 7.481, 7.481 and 7.481 Å, with angles of 90.00, 90.00 and 90.00 degrees. The distinct sites, in fractional coordinates, are Mg at (0.000, 0.000, 0.000), Cd at (0.000, 0.000, 0.500), Cd at (0.250, 0.250, 0.250) and Te at (0.250, 0.250, 0.750).

---

(2)
Crystalline MgCdTe2 at its relaxed geometry, computed with PBE.

The density comes out at 6.2 g/cm3. As for the raw formation energy: -0.59 eV/f.u.

The space group is Cmmm (No. 65) and the conventional cell measures 6.707, 7.946 and 3.971 Å, with angles of 90.00, 90.00 and 90.00 degrees. The distinct sites, in fractional coordinates, are Mg at (0.000, 0.000, 0.000), Cd at (0.000, 0.500, 0.000) and Te at (0.250, 0.250, 0.500).

---

(3)
Crystalline MgCdTe2 at its relaxed geometry, computed with PBE.

The density comes out at 4.6 g/cm3. As for the raw formation energy: -2.67 eV/f.u.

The space group is Cm (No. 8) and the conventional cell measures 8.038, 4.645 and 8.022 Å, with angles of 90.00, 109.45 and 90.00 degrees. The distinct sites, in fractional coordinates, are Mg at (0.000, 0.000, 0.000), Cd at (0.000, 0.500, 0.504), Te at (0.123, 0.000, 0.373) and Te at (0.128, 0.500, 0.883).

---

(4)
Crystalline Th2MgCd2 at its relaxed geometry, computed with PBE.

The value obtained for the energy of formation is -14.5 meV/atom. The density comes out at 8.7 g/cm3.

The space group is Immm (No. 71) and the conventional cell measures 3.927, 6.663 and 10.457 Å, with angles of 90.00, 90.00 and 90.00 degrees. The distinct sites, in fractional coordinates, are Th at (0.000, 0.000, 0.224), Mg at (0.000, 0.500, 0.000) and Cd at (0.000, 0.289, 0.500).

---

(5)
Crystalline Th3Mg2Cd2 at its relaxed geometry, computed with PBE.

The value obtained for the energy of formation is 55.4 meV/atom. The density comes out at 8.3 g/cm3.

The space group is P-1 (No. 2) and the conventional cell measures 5.085, 5.090 and 9.121 Å, with angles of 105.98, 90.20 and 119.93 degrees. The distinct sites, in fractional coordinates, are Th at (0.000, 0.000, 0.000), Th at (0.131, 0.258, 0.390), Mg at (0.401, 0.799, 0.201) and Cd at (0.266, 0.534, 0.800).

---

(6)
Crystalline Th2Mg3Cd2 at its relaxed geometry, computed with PBE.

The value obtained for the energy of formation is -21.5 meV/atom. The density comes out at 6.9 g/cm3.

The space group is Cmmm (No. 65) and the conventional cell measures 4.975, 22.417 and 3.310 Å, with angles of 90.00, 90.00 and 90.00 degrees. The distinct sites, in fractional coordinates, are Th at (0.000, 0.152, 0.000), Mg at (0.000, 0.000, 0.000), Mg at (0.000, 0.430, 0.500) and Cd at (0.000, 0.286, 0.500).

---

(7)
Crystalline ThMg4Cd15 at its relaxed geometry, computed with PBE.

The value obtained for the energy of formation is -74.3 meV/atom. The density comes out at 7.3 g/cm3.

The space group is P4/mmm (No. 123) and the conventional cell measures 4.632, 4.632 and 21.262 Å, with angles of 90.00, 90.00 and 90.00 degrees. The distinct sites, in fractional coordinates, are Th at (0.000, 0.000, 0.000), Mg at (0.000, 0.000, 0.205), Mg at (0.000, 0.000, 0.403), Cd at (0.000, 0.500, 0.110), Cd at (0.000, 0.500, 0.304), Cd at (0.000, 0.500, 0.500), Cd at (0.500, 0.500, 0.000), Cd at (0.500, 0.500, 0.208) and Cd at (0.500, 0.500, 0.401).

---

(8)
Crystalline ThMg2Cd2 at its relaxed geometry, computed with PBE.

The value obtained for the energy of formation is -32.5 meV/atom. The density comes out at 6.6 g/cm3.

The space group is Cmmm (No. 65) and the conventional cell measures 3.374, 22.174 and 3.377 Å, with angles of 90.00, 90.00 and 90.00 degrees. The distinct sites, in fractional coordinates, are Th at (0.000, 0.000, 0.000), Mg at (0.000, 0.192, 0.000) and Cd at (0.000, 0.392, 0.500).

---

(9)
Crystalline Th2Mg3Cd4 at its relaxed geometry, computed with PBE.

The value obtained for the energy of formation is -74.6 meV/atom. The density comes out at 7.2 g/cm3.

The space group is P-3m1 (No. 164) and the conventional cell measures 5.0191, 5.0191 and 10.4556 Å, with angles of 90.00, 90.00 and 120.00 degrees. The distinct sites, in fractional coordinates, are Th at (0.3333, 0.6667, 0.2840), Mg at (0.0000, 0.0000, 0.5000), Mg at (0.3333, 0.6667, 0.9336), Cd at (0.0000, 0.0000, 0.1416) and Cd at (0.3333, 0.6667, 0.5929).

---

(10)
Crystalline ThMg4Cd2 at its relaxed geometry, computed with PBE.

The value obtained for the energy of formation is -82.8 meV/atom. The density comes out at 5.5 g/cm3.

The space group is Cmmm (No. 65) and the conventional cell measures 5.135, 19.339 and 3.381 Å, with angles of 90.00, 90.00 and 90.00 degrees. The distinct sites, in fractional coordinates, are Th at (0.000, 0.000, 0.000), Mg at (0.000, 0.160, 0.500), Mg at (0.000, 0.297, 0.000) and Cd at (0.000, 0.423, 0.500).

---

(11)
Crystalline ThMgCd at its relaxed geometry, computed with PBE.

The value obtained for the energy of formation is -68.7 meV/atom. The density comes out at 7.8 g/cm3.

The space group is Pmmn (No. 59, origin choice 2) and the conventional cell measures 3.581, 4.894 and 8.967 Å, with angles of 90.00, 90.00 and 90.00 degrees. The distinct sites, in fractional coordinates, are Th at (0.250, 0.250, 0.110), Mg at (0.250, 0.750, 0.542) and Cd at (0.250, 0.250, 0.732).

---

(12)
Crystalline ThMg5Cd6 at its relaxed geometry, computed with PBE.

The value obtained for the energy of formation is -88.3 meV/atom. The density comes out at 6.1 g/cm3.

The space group is C2/m (No. 12) and the conventional cell measures 8.910, 15.316 and 4.860 Å, with angles of 90.00, 122.84 and 90.00 degrees. The distinct sites, in fractional coordinates, are Th at (0.000, 0.000, 0.000), Mg at (0.000, 0.163, 0.500), Mg at (0.000, 0.324, 0.000), Mg at (0.000, 0.500, 0.500), Cd at (0.219, 0.500, 0.220) and Cd at (0.236, 0.329, 0.735).

---

(13)
Crystalline ThMg9Cd2 at its relaxed geometry, computed with PBE.

The value obtained for the energy of formation is -26.7 meV/atom. The density comes out at 4.0 g/cm3.

The space group is I4_1/amd (No. 141, origin choice 2) and the conventional cell measures 12.008, 12.008 and 7.741 Å, with angles of 90.00, 90.00 and 90.00 degrees. The distinct sites, in fractional coordinates, are Th at (0.000, 0.250, 0.375), Mg at (0.000, 0.250, 0.875), Mg at (0.121, 0.048, 0.675) and Cd at (0.000, 0.000, 0.000).

---

(14)
Crystalline ThMg15Cd4 at its relaxed geometry, computed with PBE.

The value obtained for the energy of formation is -34.6 meV/atom. The density comes out at 3.8 g/cm3.

The space group is P4/mmm (No. 123) and the conventional cell measures 4.672, 4.672 and 21.026 Å, with angles of 90.00, 90.00 and 90.00 degrees. The distinct sites, in fractional coordinates, are Th at (0.000, 0.000, 0.000), Mg at (0.000, 0.500, 0.112), Mg at (0.000, 0.500, 0.304), Mg at (0.000, 0.500, 0.500), Mg at (0.500, 0.500, 0.000), Mg at (0.500, 0.500, 0.210), Mg at (0.500, 0.500, 0.401), Cd at (0.000, 0.000, 0.205) and Cd at (0.000, 0.000, 0.404).

---

(15)
Crystalline Th2Mg3Cd4 at its relaxed geometry, computed with PBE.

The value obtained for the energy of formation is -93.0 meV/atom. The density comes out at 7.3 g/cm3.

The space group is Cmce (No. 64) and the conventional cell measures 6.208, 17.054 and 8.447 Å, with angles of 90.00, 90.00 and 90.00 degrees. The distinct sites, in fractional coordinates, are Th at (0.000, 0.097, 0.108), Mg at (0.000, 0.000, 0.500), Mg at (0.250, 0.236, 0.750), Cd at (0.000, 0.172, 0.482) and Cd at (0.250, 0.067, 0.750).

---

(16)
Crystalline ThMgCd11 at its relaxed geometry, computed with PBE.

The value obtained for the energy of formation is -75.1 meV/atom. The density comes out at 8.4 g/cm3.

The space group is C2/m (No. 12) and the conventional cell measures 5.967, 14.048 and 7.649 Å, with angles of 90.00, 112.78 and 90.00 degrees. The distinct sites, in fractional coordinates, are Th at (0.000, 0.000, 0.000), Mg at (0.000, 0.500, 0.500), Cd at (0.000, 0.000, 0.500), Cd at (0.102, 0.395, 0.212), Cd at (0.180, 0.174, 0.352) and Cd at (0.250, 0.250, 0.000).

---

(17)
Crystalline ThMg6Cd6 at its relaxed geometry, computed with PBE.

The value obtained for the energy of formation is -105.2 meV/atom. The density comes out at 5.9 g/cm3.

The space group is Immm (No. 71) and the conventional cell measures 5.864, 9.998 and 10.057 Å, with angles of 90.00, 90.00 and 90.00 degrees. The distinct sites, in fractional coordinates, are Th at (0.000, 0.000, 0.000), Mg at (0.000, 0.000, 0.350), Mg at (0.000, 0.351, 0.000), Mg at (0.000, 0.500, 0.289), Cd at (0.000, 0.290, 0.500) and Cd at (0.250, 0.250, 0.250).

---

(18)
Crystalline ThMg3Cd2 at its relaxed geometry, computed with PBE.

The value obtained for the energy of formation is -104.7 meV/atom. The density comes out at 6.0 g/cm3.

The space group is P6_3/mmc (No. 194) and the conventional cell measures 4.9598, 4.9598 and 13.7809 Å, with angles of 90.00, 90.00 and 120.00 degrees. The distinct sites, in fractional coordinates, are Th at (0.0000, 0.0000, 0.2500), Mg at (0.0000, 0.0000, 0.0000), Mg at (0.3333, 0.6667, 0.1084) and Cd at (0.3333, 0.6667, 0.6277).

---

(19)
Crystalline Th2MgCd2 at its relaxed geometry, computed with PBE.

The value obtained for the energy of formation is -4.5 meV/atom. The density comes out at 8.6 g/cm3.

The space group is C2/c (No. 15) and the conventional cell measures 11.690, 6.095 and 8.598 Å, with angles of 90.00, 115.84 and 90.00 degrees. The distinct sites, in fractional coordinates, are Th at (0.123, 0.121, 0.459), Mg at (0.000, 0.364, 0.750) and Cd at (0.165, 0.369, 0.138).

---

(20)
Crystalline ThMgCd2 at its relaxed geometry, computed with PBE.

The value obtained for the energy of formation is -63.7 meV/atom. The density comes out at 7.6 g/cm3.

The space group is P4/mmm (No. 123) and the conventional cell measures 4.942, 4.942 and 4.282 Å, with angles of 90.00, 90.00 and 90.00 degrees. The distinct sites, in fractional coordinates, are Th at (0.000, 0.000, 0.000), Mg at (0.500, 0.500, 0.000) and Cd at (0.000, 0.500, 0.500).

---

(21)
Crystalline Th2MgCd at its relaxed geometry, computed with PBE.

The value obtained for the energy of formation is 26.9 meV/atom. The density comes out at 8.8 g/cm3.

The space group is P4/mmm (No. 123) and the conventional cell measures 3.859, 3.859 and 7.647 Å, with angles of 90.00, 90.00 and 90.00 degrees. The distinct sites, in fractional coordinates, are Th at (0.000, 0.000, 0.249), Mg at (0.500, 0.500, 0.500) and Cd at (0.500, 0.500, 0.000).

---

(22)
Crystalline Th3Mg2Cd4 at its relaxed geometry, computed with PBE.

The value obtained for the energy of formation is -130.5 meV/atom. The density comes out at 8.5 g/cm3.

The space group is C2/m (No. 12) and the conventional cell measures 11.189, 5.147 and 9.551 Å, with angles of 90.00, 122.32 and 90.00 degrees. The distinct sites, in fractional coordinates, are Th at (0.000, 0.000, 0.000), Th at (0.166, 0.500, 0.667), Mg at (0.113, 0.500, 0.280), Cd at (0.056, 0.000, 0.387) and Cd at (0.223, 0.500, 0.059).